DFT (PBE-GGA) results for a geometry-optimized ZrSeCl2 structure.

It has space group Fm-3m (No. 225), with a = 6.753 Å, b = 6.753 Å, c = 6.753 Å, α = 90.00°, β = 90.00° and γ = 90.00°. The inequivalent atoms are Zr at (0.000, 0.000, 0.000), Se at (0.000, 0.000, 0.500) and Cl at (0.250, 0.250, 0.250).

The spin magnetization is 0.00 μB/atom. The value obtained for the offset from the most stable computed form is 0.982 eV/atom. The formation energy (no corrections) comes out at -0.491 eV per atom.

DFT (PBE-GGA) results for a geometry-optimized ZrSe2Cl structure.

It has space group I-42d (No. 122), with a = 6.842 Å, b = 6.842 Å, c = 11.363 Å, α = 90.00°, β = 90.00° and γ = 90.00°. The inequivalent atoms are Zr at (0.000, 0.000, 0.000), Se at (0.184, 0.250, 0.125) and Cl at (0.000, 0.000, 0.500).

The spin magnetization is 0.00 μB/atom. The value obtained for the offset from the most stable computed form is 0.536 eV/atom. The formation energy (no corrections) comes out at -0.548 eV per atom.

DFT (PBE-GGA) results for a geometry-optimized ZrSeCl2 structure.

It has space group Imm2 (No. 44), with a = 3.429 Å, b = 5.173 Å, c = 13.657 Å, α = 90.00°, β = 90.00° and γ = 90.00°. The inequivalent atoms are Zr at (0.000, 0.000, 0.000), Se at (0.000, 0.500, 0.361), Cl at (0.000, 0.000, 0.514) and Cl at (0.000, 0.500, 0.646).

The spin magnetization is 0.00 μB/atom. The value obtained for the offset from the most stable computed form is 0.334 eV/atom. The formation energy (no corrections) comes out at -1.138 eV per atom.

DFT (PBE-GGA) results for a geometry-optimized ZrSe2Cl structure.

It has space group P2/m (No. 10), with a = 4.397 Å, b = 3.372 Å, c = 5.684 Å, α = 90.00°, β = 105.05° and γ = 90.00°. The inequivalent atoms are Zr at (0.000, 0.000, 0.000), Se at (0.000, 0.500, 0.500), Se at (0.500, 0.000, 0.500) and Cl at (0.500, 0.500, 0.000).

The spin magnetization is 0.00 μB/atom. The value obtained for the offset from the most stable computed form is 0.724 eV/atom. The formation energy (no corrections) comes out at -0.361 eV per atom.

DFT (PBE-GGA) results for a geometry-optimized ZrSeCl structure.

It has space group P3m1 (No. 156), with a = 3.6435 Å, b = 3.6435 Å, c = 6.9843 Å, α = 90.00°, β = 90.00° and γ = 120.00°. The inequivalent atoms are Zr at (0.0000, 0.0000, 0.0000), Se at (0.3333, 0.6667, 0.7655) and Cl at (0.6667, 0.3333, 0.2382).

The spin magnetization is 0.00 μB/atom. The formation energy (no corrections) comes out at -1.425 eV per atom.

DFT (PBE-GGA) results for a geometry-optimized ZrSeCl3 structure.

It has space group Pm-3m (No. 221), with a = 5.164 Å, b = 5.164 Å, c = 5.164 Å, α = 90.00°, β = 90.00° and γ = 90.00°. The inequivalent atoms are Zr at (0.000, 0.000, 0.000), Se at (0.500, 0.500, 0.500) and Cl at (0.000, 0.500, 0.500).

The spin magnetization is 0.49 μB/atom. The formation energy (no corrections) comes out at 0.387 eV per atom.

DFT (PBE-GGA) results for a geometry-optimized ZrSe2Cl structure.

It has space group Pmmm (No. 47), with a = 3.560 Å, b = 4.323 Å, c = 5.178 Å, α = 90.00°, β = 90.00° and γ = 90.00°. The inequivalent atoms are Zr at (0.000, 0.000, 0.000), Se at (0.000, 0.500, 0.500), Se at (0.500, 0.000, 0.500) and Cl at (0.500, 0.500, 0.000).

The spin magnetization is 0.00 μB/atom. The value obtained for the offset from the most stable computed form is 0.721 eV/atom. The formation energy (no corrections) comes out at -0.363 eV per atom.

DFT (PBE-GGA) results for a geometry-optimized ZrSe2Cl5 structure.

It has space group P1 (No. 1), with a = 6.976 Å, b = 7.641 Å, c = 7.805 Å, α = 70.10°, β = 64.34° and γ = 71.17°. The inequivalent atoms are Zr at (0.000, 0.000, 0.000), Se at (0.597, 0.398, 0.545), Se at (0.856, 0.528, 0.501), Cl at (0.180, 0.156, 0.667), Cl at (0.286, 0.933, 0.112), Cl at (0.711, 0.266, 0.069), Cl at (0.749, 0.864, 0.382) and Cl at (0.958, 0.739, 0.933).

The spin magnetization is 0.13 μB/atom. The formation energy (no corrections) comes out at -1.064 eV per atom.

DFT (PBE-GGA) results for a geometry-optimized Zr3SeCl structure.

It has space group Pm-3m (No. 221), with a = 4.809 Å, b = 4.809 Å, c = 4.809 Å, α = 90.00°, β = 90.00° and γ = 90.00°. The inequivalent atoms are Zr at (0.000, 0.000, 0.500), Se at (0.500, 0.500, 0.500) and Cl at (0.000, 0.000, 0.000).

The spin magnetization is 0.25 μB/atom. The value obtained for the offset from the most stable computed form is 0.000 eV/atom. The formation energy (no corrections) comes out at 0.050 eV per atom.

DFT (PBE-GGA) results for a geometry-optimized ZrSe4Cl6 structure.

It has space group Pccn (No. 56), with a = 11.156 Å, b = 11.251 Å, c = 11.190 Å, α = 90.00°, β = 90.00° and γ = 90.00°. The inequivalent atoms are Zr at (0.000, 0.000, 0.000), Se at (0.090, 0.116, 0.492), Se at (0.104, 0.575, 0.074), Cl at (0.013, 0.173, 0.858), Cl at (0.141, 0.612, 0.375) and Cl at (0.172, 0.083, 0.121).

The spin magnetization is 0.00 μB/atom. The formation energy (no corrections) comes out at -0.913 eV per atom.

DFT (PBE-GGA) results for a geometry-optimized ZrSeCl2 structure.

It has space group P4mm (No. 99), with a = 3.580 Å, b = 3.580 Å, c = 7.894 Å, α = 90.00°, β = 90.00° and γ = 90.00°. The inequivalent atoms are Zr at (0.000, 0.000, 0.000), Se at (0.500, 0.500, 0.854), Cl at (0.000, 0.000, 0.673) and Cl at (0.500, 0.500, 0.234).

The spin magnetization is 0.00 μB/atom. The value obtained for the offset from the most stable computed form is 0.483 eV/atom. The formation energy (no corrections) comes out at -0.990 eV per atom.

DFT (PBE-GGA) results for a geometry-optimized ZrSeCl2 structure.

It has space group Pm (No. 6), with a = 4.112 Å, b = 3.573 Å, c = 7.736 Å, α = 90.00°, β = 105.29° and γ = 90.00°. The inequivalent atoms are Zr at (0.000, 0.000, 0.000), Se at (0.548, 0.500, 0.097), Cl at (0.162, 0.000, 0.326) and Cl at (0.872, 0.500, 0.742).

The spin magnetization is 0.00 μB/atom. The value obtained for the offset from the most stable computed form is 0.144 eV/atom. The formation energy (no corrections) comes out at -1.328 eV per atom.